[1]
PrPaFe4 (PBE, relaxed); volume = 97.65 Å³/cell; energy = -7.984 eV per atom; magnetization = 6.2 μB/cell; energy of formation from the pure elements = 0.04 eV per atom
1.0
0.000 3.655 3.655
3.655 0.000 3.655
3.655 3.655 0.000
Pr Pa Fe
1 1 4
Direct
0.000 0.000 0.000
0.750 0.750 0.750
0.376 0.376 0.376
0.376 0.376 0.871
0.376 0.871 0.376
0.871 0.376 0.376

[2]
BaSrB12 (PBE, relaxed); volume = 152.40 Å³/cell; energy = -6.409 eV per atom; magnetization = 0.0 μB/cell; energy of formation from the pure elements = -0.43 eV per atom
1.0
0.000 4.240 4.240
4.240 0.000 4.240
4.240 4.240 0.000
Ba Sr B
1 1 12
Direct
0.000 0.000 0.000
0.500 0.500 0.500
0.102 0.102 0.398
0.102 0.398 0.102
0.102 0.398 0.398
0.398 0.102 0.102
0.398 0.102 0.398
0.398 0.398 0.102
0.602 0.602 0.898
0.602 0.898 0.602
0.602 0.898 0.898
0.898 0.602 0.602
0.898 0.602 0.898
0.898 0.898 0.602

[3]
InGaIr2Rh (PBE, relaxed); volume = 114.84 Å³/cell; energy = -4.971 eV per atom; magnetization = 0.0 μB/cell; energy of formation from the pure elements = 1.20 eV per atom
1.0
4.792 0.000 0.000
0.000 4.792 0.000
0.000 0.000 5.002
In Ga Ir Rh
1 1 2 1
Direct
0.000 0.000 0.000
0.500 0.500 0.000
0.000 0.500 0.500
0.500 0.000 0.500
0.000 0.000 0.500

[4]
CdSbPb (PBE, relaxed); volume = 83.97 Å³/cell; energy = -2.821 eV per atom; magnetization = 0.0 μB/cell; uncorrected formation energy = 27 kJ/mol of formula units
1.0
-1.731 2.069 5.861
1.731 -2.069 5.861
1.731 2.069 -5.861
Cd Sb Pb
1 1 1
Direct
0.000 0.000 0.000
0.357 0.357 0.000
0.676 0.676 0.000

[5]
La8TbTm2 (PBE, relaxed); volume = 391.29 Å³/cell; energy = -4.692 eV per atom; magnetization = 0.0 μB/cell; energy of formation from the pure elements = 0.13 eV per atom
1.0
4.625 -8.398 0.000
4.625 8.398 0.000
-3.391 0.000 5.037
La Tb Tm
8 1 2
Direct
0.095 0.335 0.684
0.206 0.794 0.000
0.335 0.095 0.684
0.421 0.421 0.202
0.579 0.579 0.798
0.665 0.905 0.316
0.794 0.206 0.000
0.905 0.665 0.316
0.000 0.000 0.000
0.311 0.689 0.500
0.689 0.311 0.500

[6]
Zn2FeCo5 (PBE, relaxed); volume = 93.09 Å³/cell; energy = -5.818 eV per atom; magnetization = 9.6 μB/cell; energy of formation from the pure elements = 0.00 eV per atom
1.0
-2.004 2.004 5.793
2.004 -2.004 5.793
2.004 2.004 -5.793
Zn Fe Co
2 1 5
Direct
0.250 0.250 0.000
0.750 0.750 0.000
0.000 0.000 0.000
0.117 0.617 0.500
0.383 0.883 0.500
0.500 0.500 0.000
0.617 0.117 0.500
0.883 0.383 0.500